12
Lattice="3.079 0.000 0.000 -1.540 2.667 0.000 0.000 0.000 32.744" Properties=species:S:1:pos:R:3 comment="Cd2WSe PBE relaxed" raw_formation_energy_ev_per_atom=0.06 pbc="T T T"
Cd 0.000 0.000 0.000
Cd 0.000 0.000 7.937
Cd 0.000 1.778 21.829
Cd 0.000 1.778 29.766
Cd 1.540 0.889 10.915
Cd 1.540 0.889 18.851
W 0.000 0.000 24.251
W 0.000 1.778 13.337
W 1.540 0.889 2.422
Se 0.000 0.000 15.089
Se 0.000 1.778 4.175
Se 1.540 0.889 26.004

8
Lattice="3.721 0.000 0.000 0.000 5.469 0.000 0.000 0.000 7.673" Properties=species:S:1:pos:R:3 comment="U2CSe PBE relaxed" raw_formation_energy_ev_per_atom=-0.50 pbc="T T T"
U 0.930 1.367 0.694
U 0.930 1.367 5.245
U 2.791 4.102 2.428
U 2.791 4.102 6.978
C 0.930 4.102 0.914
C 2.791 1.367 6.759
Se 0.930 4.102 4.712
Se 2.791 1.367 2.961

8
Lattice="8.038 0.000 0.000 0.000 4.557 0.000 -2.438 0.000 8.070" Properties=species:S:1:pos:R:3 comment="Ba4RhSBr2 PBE relaxed" raw_formation_energy_ev_per_atom=-1.42 pbc="T T T"
Ba 1.360 0.000 1.730
Ba 0.055 2.279 6.414
Ba 5.544 2.279 1.656
Ba 4.239 0.000 6.340
Rh 0.000 2.279 0.000
S 4.019 0.000 0.000
Br -1.219 0.000 4.035
Br 2.800 2.279 4.035

13
Lattice="-3.346 5.423 5.571 3.346 -5.423 5.571 3.346 5.423 -5.571" Properties=species:S:1:pos:R:3 comment="CeSm7Tl5 PBE relaxed" formation_energy_ev_per_atom=-0.152 pbc="T T T"
Ce 0.000 0.000 0.000
Sm 3.346 2.050 0.462
Sm 0.000 0.000 3.785
Sm 0.000 3.660 0.282
Sm 0.000 0.000 7.382
Sm 0.000 7.187 0.282
Sm 0.000 5.423 3.320
Sm 0.000 3.374 6.032
Tl 1.657 2.615 -2.402
Tl 5.036 2.615 -2.402
Tl 3.346 0.000 3.021
Tl -1.689 2.808 3.168
Tl 1.689 2.808 3.168

16
Lattice="7.407 0.000 0.000 0.000 7.407 0.000 0.000 0.000 7.407" Properties=species:S:1:pos:R:3 comment="GdLuTlAg PBE relaxed" formation_energy_ev_per_atom=-0.330 pbc="T T T"
Gd 0.000 0.000 0.000
Gd 0.000 3.704 3.704
Gd 3.704 0.000 3.704
Gd 3.704 3.704 0.000
Lu 0.000 0.000 3.704
Lu 0.000 3.704 0.000
Lu 3.704 0.000 0.000
Lu 3.704 3.704 3.704
Tl 1.852 1.852 1.852
Tl 1.852 5.555 5.555
Tl 5.555 1.852 5.555
Tl 5.555 5.555 1.852
Ag 1.852 1.852 5.555
Ag 1.852 5.555 1.852
Ag 5.555 1.852 1.852
Ag 5.555 5.555 5.555

16
Lattice="6.874 0.000 0.000 0.000 6.874 0.000 0.000 0.000 6.874" Properties=species:S:1:pos:R:3 comment="Sc2MnCl PBE relaxed" polymorph_energy_mev_per_atom=969 raw_formation_energy_ev_per_atom=0.38 pbc="T T T"
Sc 0.000 0.000 0.000
Sc 0.000 3.437 3.437
Sc 1.718 1.718 1.718
Sc 1.718 5.155 5.155
Sc 3.437 0.000 3.437
Sc 3.437 3.437 0.000
Sc 5.155 1.718 5.155
Sc 5.155 5.155 1.718
Mn 0.000 0.000 3.437
Mn 0.000 3.437 0.000
Mn 3.437 0.000 0.000
Mn 3.437 3.437 3.437
Cl 1.718 1.718 5.155
Cl 1.718 5.155 1.718
Cl 5.155 1.718 1.718
Cl 5.155 5.155 5.155